Computed, not measured: a relaxed structure of DyHoCr2O8 at the PBE with a Hubbard U level of DFT.

Results
Total energy ... -7.6543 eV per atom
Magnetic moment ... 2.00 μB per formula unit
Density ... 5.7 g/cm³
Calculated volume ... 162.7 Å³/f.u.
Symmetry ... I-4m2, No. 119

Lattice parameters (Å, degrees): 5.980 5.980 5.980 106.02 106.02 116.62
Last column: magnetic moment on the atom in μB.
Positions (direct):
Ho (0.250, 0.750, 0.500)  0.03
O (0.490, 0.675, 0.815)  -0.03
O (0.391, 0.075, 0.316)  -0.03
O (0.859, 0.675, 0.185)  -0.03
O (0.759, 0.075, 0.684)  -0.03
O (0.925, 0.241, 0.316)  -0.03
O (0.325, 0.510, 0.185)  -0.03
O (0.925, 0.609, 0.684)  -0.03
O (0.325, 0.141, 0.815)  -0.03
Cr (0.500, 0.500, 0.000)  1.10
Cr (0.750, 0.250, 0.500)  1.10
Dy (0.000, 0.000, 0.000)  0.03